GGA-PBE Nd3Mg4Ni4, relaxed; DFT total energy = -4.20 eV per atom; SG = Immm; theoretical density = 5.61 Mg/m³; volume = 20.595 Å³/atom; formation energy from the elements = -0.21 eV per atom
1.0
-2.443 -3.193 -0.295
3.104 -1.720 -7.080
4.582 -1.592 6.824
Mg Ni Nd
4 4 3
Direct
0.672 0.863 0.344 Mg
0.328 0.137 0.656 Mg
0.328 0.519 0.656 Mg
0.672 0.481 0.344 Mg
0.227 0.727 0.455 Ni
0.773 0.273 0.545 Ni
0.500 0.170 0.000 Ni
0.500 0.830 0.000 Ni
0.881 0.881 0.762 Nd
0.000 0.500 0.000 Nd
0.119 0.119 0.238 Nd